Computed, not measured: crystalline La7Y2Sc2 at its relaxed geometry at the PBE-GGA level of DFT.

Cell lengths 8.059, 6.149, 8.059 Å; angles 75.82, 87.59, 104.18 degrees
Atoms (fractional coordinates):
La (0.419, 0.190, 0.048)
La (0.048, 0.810, 0.419)
La (0.581, 0.810, 0.952)
La (0.952, 0.190, 0.581)
La (0.427, 0.205, 0.573)
La (0.000, 0.000, 0.000)
La (0.573, 0.795, 0.427)
Y (0.213, 0.593, 0.787)
Y (0.787, 0.407, 0.213)
Sc (0.781, 0.500, 0.781)
Sc (0.219, 0.500, 0.219)

Computed properties:
crystal system: monoclinic
formation energy from the elements: 0.130 eV/atom
volume: 373.2 Å³/f.u.
M_tot: 0.0 μB per formula unit
calculated total energy: -5.3324 eV/atom
Fermi-level density of states: 16.6 states/eV/cell

***

Computed, not measured: crystalline LaYSc3 at its relaxed geometry at the PBE-GGA level of DFT.

Cell lengths 4.890, 8.965, 6.789 Å; angles 98.68, 90.00, 105.83 degrees
Atoms (fractional coordinates):
La (0.602, 0.204, 0.545)
La (0.398, 0.796, 0.455)
Y (0.799, 0.598, 0.147)
Y (0.201, 0.402, 0.853)
Sc (0.003, 0.006, 0.239)
Sc (0.997, 0.994, 0.761)
Sc (0.405, 0.811, 0.957)
Sc (0.595, 0.189, 0.043)
Sc (0.198, 0.396, 0.344)
Sc (0.802, 0.604, 0.656)

Computed properties:
crystal system: monoclinic
formation energy from the elements: 0.075 eV/atom
volume: 141.4 Å³/f.u.
M_tot: 0.0 μB per formula unit
energy relative to the lowest polymorph listed for this composition: 0 meV per atom
calculated total energy: -6.0022 eV/atom
Fermi-level density of states: 17.1 states/eV/cell

***

Computed, not measured: crystalline La6YSc2 at its relaxed geometry at the PBE-GGA level of DFT.

Cell lengths 3.628, 9.953, 9.953 Å; angles 55.75, 90.00, 90.00 degrees
Atoms (fractional coordinates):
La (0.000, 0.505, 0.158)
La (0.000, 0.842, 0.495)
La (0.000, 0.495, 0.842)
La (0.500, 0.673, 0.327)
La (0.000, 0.158, 0.505)
La (0.500, 0.327, 0.673)
Y (0.000, 0.000, 0.000)
Sc (0.500, 0.172, 0.172)
Sc (0.500, 0.828, 0.828)

Computed properties:
crystal system: orthorhombic
formation energy from the elements: 0.146 eV/atom
volume: 297.1 Å³/f.u.
M_tot: 0.0 μB per formula unit
calculated total energy: -5.2638 eV/atom
Fermi-level density of states: 13.5 states/eV/cell

***

Computed, not measured: crystalline LaY4Sc2 at its relaxed geometry at the PBE-GGA level of DFT.

Cell lengths 6.967, 8.479, 8.667 Å; angles 115.63, 99.99, 101.24 degrees
Atoms (fractional coordinates):
La (0.214, 0.687, 0.448)
La (0.924, 0.998, 0.880)
Y (0.628, 0.119, 0.602)
Y (0.535, 0.567, 0.774)
Y (0.328, 0.239, 0.320)
Y (0.827, 0.250, 0.315)
Y (0.035, 0.564, 0.781)
Y (0.936, 0.838, 0.187)
Y (0.310, 0.416, 0.039)
Y (0.431, 0.013, 0.911)
Sc (0.703, 0.668, 0.422)
Sc (0.135, 0.140, 0.610)
Sc (0.805, 0.415, 0.036)
Sc (0.438, 0.834, 0.175)

Computed properties:
crystal system: triclinic
formation energy from the elements: 0.059 eV/atom
volume: 216.5 Å³/f.u.
M_tot: 0.0 μB per formula unit
energy relative to the lowest polymorph listed for this composition: 0 meV per atom
calculated total energy: -6.1481 eV/atom
Fermi-level density of states: 25.5 states/eV/cell

***

Computed, not measured: crystalline LaY6Sc3 at its relaxed geometry at the PBE-GGA level of DFT.

Cell lengths 6.304, 11.259, 11.259 Å; angles 130.09, 90.00, 90.00 degrees
Atoms (fractional coordinates):
La (0.007, 0.159, 0.841)
La (0.507, 0.841, 0.159)
Y (0.084, 0.733, 0.623)
Y (0.584, 0.623, 0.733)
Y (0.331, 0.460, 0.894)
Y (0.831, 0.894, 0.460)
Y (0.281, 0.985, 0.015)
Y (0.794, 0.302, 0.698)
Y (0.294, 0.698, 0.302)
Y (0.781, 0.015, 0.985)
Y (0.331, 0.106, 0.540)
Y (0.831, 0.540, 0.106)
Y (0.084, 0.377, 0.267)
Y (0.584, 0.267, 0.377)
Sc (0.483, 0.956, 0.703)
Sc (0.983, 0.703, 0.956)
Sc (0.108, 0.415, 0.585)
Sc (0.608, 0.585, 0.415)
Sc (0.983, 0.044, 0.297)
Sc (0.483, 0.297, 0.044)

Computed properties:
crystal system: orthorhombic
formation energy from the elements: 0.127 eV/atom
volume: 305.7 Å³/f.u.
M_tot: 0.0 μB per formula unit
calculated total energy: -6.1440 eV/atom
Fermi-level density of states: 27.0 states/eV/cell

***

Computed, not measured: crystalline La2Y7Sc at its relaxed geometry at the PBE-GGA level of DFT.

Cell lengths 11.110, 11.110, 3.482 Å; angles 90.00, 90.00, 57.46 degrees
Atoms (fractional coordinates):
La (0.317, 0.317, 0.500)
La (0.683, 0.683, 0.500)
Y (0.171, 0.171, 0.000)
Y (0.829, 0.829, 0.000)
Y (0.312, 0.859, 0.500)
Y (0.688, 0.141, 0.500)
Y (0.141, 0.688, 0.500)
Y (0.859, 0.312, 0.500)
Y (0.500, 0.500, 0.500)
Sc (0.000, 0.000, 0.000)

Computed properties:
crystal system: orthorhombic
formation energy from the elements: 0.474 eV/atom
volume: 362.3 Å³/f.u.
M_tot: 0.0 μB per formula unit
calculated total energy: -5.6692 eV/atom
Fermi-level density of states: 17.9 states/eV/cell

***

Computed, not measured: crystalline La8YSc2 at its relaxed geometry at the PBE-GGA level of DFT.

Cell lengths 5.669, 9.214, 9.060 Å; angles 120.56, 108.23, 90.00 degrees
Atoms (fractional coordinates):
La (0.654, 0.850, 0.307)
La (0.346, 0.543, 0.693)
La (0.144, 0.144, 0.289)
La (0.000, 0.336, 0.000)
La (0.856, 0.856, 0.711)
La (0.654, 0.457, 0.307)
La (0.346, 0.150, 0.693)
La (0.000, 0.664, 0.000)
Y (0.500, 0.000, 0.000)
Sc (0.216, 0.716, 0.433)
Sc (0.784, 0.284, 0.567)

Computed properties:
crystal system: orthorhombic
formation energy from the elements: 0.111 eV/atom
volume: 379.6 Å³/f.u.
M_tot: 0.0 μB per formula unit
calculated total energy: -5.2111 eV/atom
Fermi-level density of states: 17.6 states/eV/cell

***

Computed, not measured: crystalline La5Y4Sc2 at its relaxed geometry at the PBE-GGA level of DFT.

Cell lengths 3.568, 8.910, 11.486 Å; angles 85.89, 90.00, 90.00 degrees
Atoms (fractional coordinates):
La (0.000, 0.435, 0.301)
La (0.000, 0.810, 0.162)
La (0.000, 0.500, 0.000)
La (0.000, 0.190, 0.838)
La (0.000, 0.565, 0.699)
Y (0.500, 0.260, 0.553)
Y (0.500, 0.837, 0.877)
Y (0.500, 0.740, 0.447)
Y (0.500, 0.163, 0.123)
Sc (0.000, 0.942, 0.631)
Sc (0.000, 0.058, 0.369)

Computed properties:
crystal system: monoclinic
formation energy from the elements: 0.074 eV/atom
volume: 364.2 Å³/f.u.
M_tot: 0.0 μB per formula unit
calculated total energy: -5.6673 eV/atom
Fermi-level density of states: 17.7 states/eV/cell

***

Computed, not measured: crystalline La12Y6Sc at its relaxed geometry at the PBE-GGA level of DFT.

Cell lengths 9.670, 9.670, 9.670 Å; angles 110.80, 110.80, 110.80 degrees
Atoms (fractional coordinates):
La (0.371, 0.054, 0.582)
La (0.054, 0.582, 0.371)
La (0.582, 0.371, 0.054)
La (0.629, 0.946, 0.418)
La (0.946, 0.418, 0.629)
La (0.418, 0.629, 0.946)
La (0.103, 0.156, 0.739)
La (0.261, 0.897, 0.844)
La (0.844, 0.261, 0.897)
La (0.897, 0.844, 0.261)
La (0.739, 0.103, 0.156)
La (0.156, 0.739, 0.103)
Y (0.213, 0.315, 0.469)
Y (0.685, 0.531, 0.787)
Y (0.531, 0.787, 0.685)
Y (0.787, 0.685, 0.531)
Y (0.315, 0.469, 0.213)
Y (0.469, 0.213, 0.315)
Sc (0.000, 0.000, 0.000)

Computed properties:
crystal system: trigonal
formation energy from the elements: 0.029 eV/atom
volume: 659.7 Å³/f.u.
M_tot: 0.0 μB per formula unit
calculated total energy: -5.4575 eV/atom
Fermi-level density of states: 33.8 states/eV/cell

***

Computed, not measured: crystalline La2YSc2 at its relaxed geometry at the PBE-GGA level of DFT.

Cell lengths 9.400, 9.400, 3.545 Å; angles 90.00, 90.00, 90.00 degrees
Atoms (fractional coordinates):
Y (0.000, 0.000, 0.000)
Y (0.500, 0.500, 0.000)
Sc (0.382, 0.882, 0.000)
Sc (0.882, 0.618, 0.000)
Sc (0.618, 0.118, 0.000)
Sc (0.118, 0.382, 0.000)
La (0.178, 0.678, 0.500)
La (0.678, 0.822, 0.500)
La (0.822, 0.322, 0.500)
La (0.322, 0.178, 0.500)

Computed properties:
crystal system: tetragonal
formation energy from the elements: 0.109 eV/atom
volume: 156.6 Å³/f.u.
M_tot: 0.0 μB per formula unit
energy relative to the lowest polymorph listed for this composition: 0 meV per atom
calculated total energy: -5.6877 eV/atom
Fermi-level density of states: 14.5 states/eV/cell

***

Fermi-level density of states of number 10 (La2YSc2)?
14.5 states/eV/cell

***

Look up the volume of the first one.
373.2 Å³/f.u.

***

Repeat the sixth record exactly.
Computed, not measured: crystalline La2Y7Sc at its relaxed geometry at the PBE-GGA level of DFT.

Cell lengths 11.110, 11.110, 3.482 Å; angles 90.00, 90.00, 57.46 degrees
Atoms (fractional coordinates):
La (0.317, 0.317, 0.500)
La (0.683, 0.683, 0.500)
Y (0.171, 0.171, 0.000)
Y (0.829, 0.829, 0.000)
Y (0.312, 0.859, 0.500)
Y (0.688, 0.141, 0.500)
Y (0.141, 0.688, 0.500)
Y (0.859, 0.312, 0.500)
Y (0.500, 0.500, 0.500)
Sc (0.000, 0.000, 0.000)

Computed properties:
crystal system: orthorhombic
formation energy from the elements: 0.474 eV/atom
volume: 362.3 Å³/f.u.
M_tot: 0.0 μB per formula unit
calculated total energy: -5.6692 eV/atom
Fermi-level density of states: 17.9 states/eV/cell

***

Number 3 is which compound?
La6YSc2